A geometry-optimized PaBe2Tc structure, computed with PBE.

E_form: 0.278 eV per atom

a = 6.799 Å, b = 6.799 Å, c = 6.799 Å
α = 27.68°, β = 27.68°, γ = 27.68°
Element x y z (fractional)
Pa: 0.000 0.000 0.000
Be: 0.230 0.230 0.230
Be: 0.770 0.770 0.770
Tc: 0.500 0.500 0.500

---

A geometry-optimized PaBeTc structure, computed with PBE.

Energy above the lowest structure with this stoichiometry: 1.397 eV per formula unit
E_form: 0.210 eV per atom

a = 3.678 Å, b = 3.678 Å, c = 8.979 Å
α = 90.00°, β = 90.00°, γ = 120.00°
Element x y z (fractional)
Pa: 0.333 0.667 0.000
Pa: 0.667 0.333 0.500
Be: 0.333 0.667 0.306
Be: 0.667 0.333 0.806
Tc: 0.000 0.000 0.208
Tc: 0.000 0.000 0.708

---

A geometry-optimized PaBeTc structure, computed with PBE.

Energy above the lowest structure with this stoichiometry: 0.000 eV per formula unit
E_form: -0.256 eV per atom

a = 5.259 Å, b = 5.259 Å, c = 5.259 Å
α = 129.57°, β = 114.99°, γ = 86.59°
Element x y z (fractional)
Pa: 0.375 0.125 0.250
Pa: 0.625 0.875 0.750
Be: 0.000 0.000 0.500
Be: 0.000 0.500 0.000
Tc: 0.000 0.500 0.500
Tc: 0.500 0.500 0.000

---

A geometry-optimized PaBeTe3 structure, computed with PBE.

Formation energy without anion corrections: -1.44 eV/f.u.

a = 6.159 Å, b = 7.435 Å, c = 7.782 Å
α = 116.63°, β = 109.03°, γ = 91.83°
Element x y z (fractional)
Pa: 0.000 0.000 0.000
Pa: 0.462 0.694 0.013
Be: 0.492 0.476 0.254
Be: 0.847 0.633 0.306
Te: 0.052 0.608 0.619
Te: 0.055 0.456 0.064
Te: 0.386 0.015 0.386
Te: 0.494 0.131 0.989
Te: 0.576 0.615 0.634
Te: 0.898 0.000 0.385

---

A geometry-optimized ThPaBe structure, computed with PBE.

Energy above the lowest structure with this stoichiometry: 0.000 eV per formula unit
E_form: 0.181 eV per atom

a = 10.881 Å, b = 10.184 Å, c = 5.587 Å
α = 81.64°, β = 67.83°, γ = 30.53°
Element x y z (fractional)
Th: 0.047 0.703 0.047
Th: 0.297 0.953 0.297
Th: 0.703 0.047 0.703
Th: 0.953 0.297 0.953
Pa: 0.290 0.290 0.460
Pa: 0.460 0.460 0.290
Pa: 0.540 0.540 0.710
Pa: 0.710 0.710 0.540
Be: 0.001 0.001 0.249
Be: 0.249 0.249 0.001
Be: 0.751 0.751 0.999
Be: 0.999 0.999 0.751

---

A geometry-optimized ThPaBe structure, computed with PBE.

Energy above the lowest structure with this stoichiometry: 0.263 eV per formula unit
E_form: 0.268 eV per atom

a = 6.357 Å, b = 6.357 Å, c = 6.357 Å
α = 148.80°, β = 148.80°, γ = 44.70°
Element x y z (fractional)
Th: 0.000 0.000 0.000
Pa: 0.281 0.281 0.000
Be: 0.649 0.649 0.000

---

A geometry-optimized PaTiBe17 structure, computed with PBE.

E_form: -0.111 eV per atom

a = 5.718 Å, b = 5.718 Å, c = 5.718 Å
α = 82.88°, β = 82.88°, γ = 82.88°
Element x y z (fractional)
Pa: 0.000 0.000 0.000
Ti: 0.676 0.676 0.676
Be: 0.054 0.345 0.624
Be: 0.054 0.624 0.345
Be: 0.188 0.679 0.679
Be: 0.248 0.248 0.248
Be: 0.341 0.341 0.840
Be: 0.341 0.840 0.341
Be: 0.345 0.054 0.624
Be: 0.345 0.624 0.054
Be: 0.440 0.440 0.440
Be: 0.500 0.995 0.995
Be: 0.624 0.054 0.345
Be: 0.624 0.345 0.054
Be: 0.679 0.188 0.679
Be: 0.679 0.679 0.188
Be: 0.840 0.341 0.341
Be: 0.995 0.500 0.995
Be: 0.995 0.995 0.500

---

A geometry-optimized PaTiBe2 structure, computed with PBE.

Energy above the lowest structure with this stoichiometry: 0.000 eV per formula unit
E_form: 0.053 eV per atom

a = 2.922 Å, b = 2.922 Å, c = 7.046 Å
α = 90.00°, β = 90.00°, γ = 90.00°
Element x y z (fractional)
Pa: 0.000 0.000 0.000
Ti: 0.000 0.000 0.500
Be: 0.500 0.500 0.286
Be: 0.500 0.500 0.714

---

A geometry-optimized PaTiBe4 structure, computed with PBE.

E_form: 0.046 eV per atom

a = 4.781 Å, b = 4.781 Å, c = 4.781 Å
α = 60.00°, β = 60.00°, γ = 60.00°
Element x y z (fractional)
Pa: 0.000 0.000 0.000
Ti: 0.250 0.250 0.250
Be: 0.130 0.623 0.623
Be: 0.623 0.130 0.623
Be: 0.623 0.623 0.130
Be: 0.623 0.623 0.623

---

A geometry-optimized PaTi2Be6 structure, computed with PBE.

E_form: 0.111 eV per atom

a = 6.777 Å, b = 6.777 Å, c = 6.777 Å
α = 154.51°, β = 117.80°, γ = 68.34°
Element x y z (fractional)
Pa: 0.000 0.000 0.000
Ti: 0.355 0.855 0.500
Ti: 0.645 0.145 0.500
Be: 0.026 0.323 0.703
Be: 0.341 0.500 0.841
Be: 0.380 0.677 0.703
Be: 0.620 0.323 0.297
Be: 0.659 0.500 0.159
Be: 0.974 0.677 0.297

---

A geometry-optimized PaTiBe2 structure, computed with PBE.

Energy above the lowest structure with this stoichiometry: 0.645 eV per formula unit
E_form: 0.214 eV per atom

a = 4.480 Å, b = 4.480 Å, c = 4.480 Å
α = 60.00°, β = 60.00°, γ = 60.00°
Element x y z (fractional)
Pa: 0.000 0.000 0.000
Ti: 0.500 0.500 0.500
Be: 0.250 0.250 0.250
Be: 0.750 0.750 0.750

---

A geometry-optimized PaBeTl structure, computed with PBE.

E_form: 0.175 eV per atom

a = 7.884 Å, b = 7.884 Å, c = 3.706 Å
α = 90.00°, β = 90.00°, γ = 146.53°
Element x y z (fractional)
Pa: 0.070 0.930 0.750
Pa: 0.930 0.070 0.250
Be: 0.463 0.537 0.750
Be: 0.537 0.463 0.250
Tl: 0.294 0.706 0.750
Tl: 0.706 0.294 0.250

---

A geometry-optimized Pa2BeTl structure, computed with PBE.

Energy above the lowest structure with this stoichiometry: 0.300 eV per formula unit
E_form: 0.255 eV per atom

a = 10.323 Å, b = 10.323 Å, c = 10.323 Å
α = 17.72°, β = 17.72°, γ = 17.72°
Element x y z (fractional)
Pa: 0.238 0.238 0.238
Pa: 0.762 0.762 0.762
Be: 0.500 0.500 0.500
Tl: 0.000 0.000 0.000

---

A geometry-optimized Pa2BeTl structure, computed with PBE.

Energy above the lowest structure with this stoichiometry: 0.000 eV per formula unit
E_form: 0.180 eV per atom

a = 3.132 Å, b = 3.132 Å, c = 8.814 Å
α = 90.00°, β = 90.00°, γ = 90.00°
Element x y z (fractional)
Pa: 0.000 0.000 0.205
Pa: 0.000 0.000 0.795
Be: 0.500 0.500 0.000
Tl: 0.500 0.500 0.500

---

A geometry-optimized TmPaBe2 structure, computed with PBE.

E_form: 0.471 eV per atom

a = 8.687 Å, b = 8.687 Å, c = 8.687 Å
α = 21.71°, β = 21.71°, γ = 21.71°
Element x y z (fractional)
Tm: 0.000 0.000 0.000
Pa: 0.500 0.500 0.500
Be: 0.251 0.251 0.251
Be: 0.749 0.749 0.749

---

A geometry-optimized TmPaBe4 structure, computed with PBE.

E_form: 0.148 eV per atom

a = 4.970 Å, b = 4.970 Å, c = 4.970 Å
α = 60.00°, β = 60.00°, γ = 60.00°
Element x y z (fractional)
Tm: 0.000 0.000 0.000
Pa: 0.750 0.750 0.750
Be: 0.376 0.376 0.376
Be: 0.376 0.376 0.872
Be: 0.376 0.872 0.376
Be: 0.872 0.376 0.376

---

A geometry-optimized UPaBe4 structure, computed with PBE.

E_form: 0.145 eV per atom

a = 4.870 Å, b = 4.870 Å, c = 4.870 Å
α = 60.00°, β = 60.00°, γ = 60.00°
Element x y z (fractional)
U: 0.000 0.000 0.000
Pa: 0.750 0.750 0.750
Be: 0.374 0.374 0.374
Be: 0.374 0.374 0.878
Be: 0.374 0.878 0.374
Be: 0.878 0.374 0.374

---

A geometry-optimized UPaBe structure, computed with PBE.

Energy above the lowest structure with this stoichiometry: 0.000 eV per formula unit
E_form: 0.247 eV per atom

a = 7.051 Å, b = 7.051 Å, c = 7.051 Å
α = 156.76°, β = 156.76°, γ = 33.10°
Element x y z (fractional)
U: 0.000 0.000 0.000
Pa: 0.301 0.301 0.000
Be: 0.648 0.648 0.000

---

A geometry-optimized UPaBe structure, computed with PBE.

Energy above the lowest structure with this stoichiometry: 1.049 eV per formula unit
E_form: 0.597 eV per atom

a = 9.625 Å, b = 9.625 Å, c = 9.625 Å
α = 158.47°, β = 158.47°, γ = 30.64°
Element x y z (fractional)
U: 0.087 0.087 0.000
U: 0.913 0.913 0.000
Pa: 0.306 0.306 0.000
Pa: 0.694 0.694 0.000
Be: 0.449 0.449 0.000
Be: 0.551 0.551 0.000

---

A geometry-optimized PaBeV2 structure, computed with PBE.

Energy above the lowest structure with this stoichiometry: 0.168 eV per formula unit
E_form: 0.207 eV per atom

a = 3.116 Å, b = 3.116 Å, c = 6.380 Å
α = 90.00°, β = 90.00°, γ = 90.00°
Element x y z (fractional)
Pa: 0.000 0.000 0.000
Be: 0.000 0.000 0.500
V: 0.500 0.500 0.335
V: 0.500 0.500 0.665

---

The records above give, respectively, calculated total energy values of -26.20, -45.92, -48.71, -48.18, -80.40, -19.84, -82.84, -24.63, -32.02, -46.64, -23.99, -30.13, -24.07, -24.37, -19.54, -27.98, -34.82, -23.77, -45.44, -30.63 eV/cell.
The records above give, respectively, density of states at the Fermi level values of 3.35, 7.25, 5.35, 6.05, 17.46, 4.34, 3.92, 4.30, 4.17, 3.95, 5.86, 7.03, 6.84, 5.74, 4.69, 4.63, 9.28, 6.33, 16.13, 6.31 states/eV per cell.